# Ni7Ru2Rh2 | the Alexandria database | PBE | optimized geometry
# crystal system	monoclinic
# formation energy from the elements	0.261	eV/atom
data_Ni7Ru2Rh2
_chemical_formula_sum 'Ni14 Ru4 Rh4'
_cell_length_a 7.927
_cell_length_b 6.125
_cell_length_c 5.991
_cell_angle_alpha 90.00
_cell_angle_beta 103.93
_cell_angle_gamma 90.00
_symmetry_space_group_name_H-M 'C 1 2/m 1'
_symmetry_Int_Tables_number 12
_symmetry_space_group_name_Hall '-C 2y'
loop_
_atom_site_label
_atom_site_type_symbol
_atom_site_fract_x
_atom_site_fract_y
_atom_site_fract_z
Ni1 Ni 0.000 0.000 0.000
Ni2 Ni 0.220 0.295 0.181
Ni3 Ni 0.237 0.500 0.531
Ru1 Ru 0.059 0.500 0.826
Rh1 Rh 0.000 0.212 0.500

=====

# Tb6Tl2Ge | the Alexandria database | PBE | optimized geometry
# crystal system	tetragonal
# formation energy from the elements	0.002	eV/atom
data_Tb6Tl2Ge
_chemical_formula_sum 'Tb12 Tl4 Ge2'
_cell_length_a 7.492
_cell_length_b 7.492
_cell_length_c 11.162
_cell_angle_alpha 90.00
_cell_angle_beta 90.00
_cell_angle_gamma 90.00
_symmetry_space_group_name_H-M 'P 42/m n m'
_symmetry_Int_Tables_number 136
_symmetry_space_group_name_Hall '-P 4n 2n'
loop_
_atom_site_label
_atom_site_type_symbol
_atom_site_fract_x
_atom_site_fract_y
_atom_site_fract_z
Tb1 Tb 0.212 0.212 0.159
Tb2 Tb 0.238 0.238 0.500
Tl1 Tl 0.000 0.000 0.347
Ge1 Ge 0.000 0.000 0.000

=====

# Pd4Pt3Au | the Alexandria database | PBE | optimized geometry
# energy relative to the lowest polymorph listed for this composition	0.218	eV per atom
# crystal system	orthorhombic
# formation energy from the elements	0.200	eV/atom
data_Pd4Pt3Au
_chemical_formula_sum 'Pd8 Pt6 Au2'
_cell_length_a 9.414
_cell_length_b 10.739
_cell_length_c 2.700
_cell_angle_alpha 90.00
_cell_angle_beta 90.00
_cell_angle_gamma 90.00
_symmetry_space_group_name_H-M 'C m m m'
_symmetry_Int_Tables_number 65
_symmetry_space_group_name_Hall '-C 2 2'
loop_
_atom_site_label
_atom_site_type_symbol
_atom_site_fract_x
_atom_site_fract_y
_atom_site_fract_z
Pd1 Pd 0.000 0.245 0.000
Pd2 Pd 0.245 0.000 0.500
Pt1 Pt 0.000 0.000 0.000
Pt2 Pt 0.250 0.250 0.500
Au1 Au 0.000 0.500 0.000

=====

# InCuPb2 | the Alexandria database | PBE | optimized geometry
# crystal system	trigonal
# formation energy from the elements	0.166	eV/atom
data_InCuPb2
_chemical_formula_sum 'In3 Cu3 Pb6'
_cell_length_a 3.7535
_cell_length_b 3.7535
_cell_length_c 25.9085
_cell_angle_alpha 90.00
_cell_angle_beta 90.00
_cell_angle_gamma 120.00
_symmetry_space_group_name_H-M 'R -3 m'
_symmetry_Int_Tables_number 166
_symmetry_space_group_name_Hall '-R 3 2"'
loop_
_atom_site_label
_atom_site_type_symbol
_atom_site_fract_x
_atom_site_fract_y
_atom_site_fract_z
In1 In 0.0000 0.0000 0.0000
Cu1 Cu 0.0000 0.0000 0.5000
Pb1 Pb 0.0000 0.0000 0.2360

=====

# Cs2RbNbBr6 | the Alexandria database | PBE | optimized geometry
# formation energy from raw total energies	-1.3806	eV per atom
# crystal system	orthorhombic
data_Cs2RbNbBr6
_chemical_formula_sum 'Cs4 Rb2 Nb2 Br12'
_cell_length_a 7.959
_cell_length_b 11.825
_cell_length_c 9.028
_cell_angle_alpha 90.00
_cell_angle_beta 90.00
_cell_angle_gamma 90.00
_symmetry_space_group_name_H-M 'P m m n'
_symmetry_Int_Tables_number 59
loop_
_symmetry_equiv_pos_as_xyz
'x,y,z'
'-x,-y,-z'
'-x+1/2,-y+1/2,z'
'x+1/2,y+1/2,-z'
'x+1/2,-y,-z'
'-x+1/2,y,z'
'-x,y+1/2,-z'
'x,-y+1/2,z'
loop_
_atom_site_label
_atom_site_type_symbol
_atom_site_fract_x
_atom_site_fract_y
_atom_site_fract_z
Cs1 Cs 0.250 0.029 0.196
Rb1 Rb 0.250 0.250 0.701
Nb1 Nb 0.250 0.750 0.793
Br1 Br 0.011 0.750 0.589
Br2 Br 0.018 0.750 0.007
Br3 Br 0.250 0.525 0.791

=====

# SrHoHg | the Alexandria database | PBE | optimized geometry
# energy relative to the lowest polymorph listed for this composition	0.000	eV per atom
# crystal system	tetragonal
# formation energy from the elements	-0.312	eV/atom
data_SrHoHg
_chemical_formula_sum 'Sr2 Ho2 Hg2'
_cell_length_a 5.063
_cell_length_b 5.063
_cell_length_c 7.977
_cell_angle_alpha 90.00
_cell_angle_beta 90.00
_cell_angle_gamma 90.00
_symmetry_space_group_name_H-M 'P 4/n m m'
_symmetry_Int_Tables_number 129
loop_
_symmetry_equiv_pos_as_xyz
'x,y,z'
'-x,-y,-z'
'-y+1/2,x,z'
'y+1/2,-x,-z'
'-x+1/2,-y+1/2,z'
'x+1/2,y+1/2,-z'
'y,-x+1/2,z'
'-y,x+1/2,-z'
'x+1/2,-y,-z'
'-x+1/2,y,z'
'-y,-x,-z'
'y,x,z'
'-x,y+1/2,-z'
'x,-y+1/2,z'
'y+1/2,x+1/2,-z'
'-y+1/2,-x+1/2,z'
loop_
_atom_site_label
_atom_site_type_symbol
_atom_site_fract_x
_atom_site_fract_y
_atom_site_fract_z
Sr1 Sr 0.250 0.250 0.135
Ho1 Ho 0.250 0.750 0.500
Hg1 Hg 0.250 0.250 0.718

=====

Number 1: mass density 9633 kg/m³. Number 2: mass density 7607 kg/m³. Number 3: mass density 14698 kg/m³. Number 4: mass density 9341 kg/m³. Number 5: mass density 3610 kg/m³. Number 6: mass density 7359 kg/m³.